[1]
Crystalline La2Pr3Pb at its relaxed geometry. Source: Alexandria via LeMat-Bulk, functional GGA-PBE.

Results
Formation enthalpy at 0 K, eV/atom: -0.20
Total energy, eV/atom: -4.85
Calculated density, g/cm3: 7.41
Space-group type: Cmmm (65)

Cell lengths 5.068, 16.094, 4.986 Å; angles 90.00, 90.00, 90.00 degrees
Atoms (fractional coordinates):
La (0.000, 0.163, 0.000)
La (0.000, 0.837, 0.000)
La (0.500, 0.337, 0.000)
La (0.500, 0.663, 0.000)
Pr (0.000, 0.000, 0.500)
Pr (0.000, 0.341, 0.500)
Pr (0.000, 0.659, 0.500)
Pr (0.500, 0.159, 0.500)
Pr (0.500, 0.500, 0.500)
Pr (0.500, 0.841, 0.500)
Pb (0.000, 0.500, 0.000)
Pb (0.500, 0.000, 0.000)

---

[2]
Crystalline AlZnGa at its relaxed geometry. Source: Alexandria via LeMat-Bulk, functional GGA-PBE.

Results
Formation enthalpy at 0 K, eV/atom: 0.04
Total energy, eV/atom: -2.64
Calculated density, g/cm3: 5.09
Space-group type: P4/nmm (129)

Cell lengths 4.048, 4.048, 6.456 Å; angles 90.00, 90.00, 90.00 degrees
Atoms (fractional coordinates):
Al (0.250, 0.750, 0.000)
Al (0.750, 0.250, 0.000)
Zn (0.250, 0.250, 0.296)
Zn (0.750, 0.750, 0.704)
Ga (0.250, 0.250, 0.689)
Ga (0.750, 0.750, 0.311)

---

[3]
Crystalline Li2ZrF at its relaxed geometry. Source: Alexandria via LeMat-Bulk, functional GGA-PBE.

Results
Energy above the most stable polymorph in this dataset, meV per atom: 0.0
Formation energy without anion corrections, eV per atom: -0.77
Total energy, eV/atom: -4.33
Calculated density, g/cm3: 2.88
Space-group type: I-42d (122)

Cell lengths 5.873, 5.873, 8.295 Å; angles 90.00, 90.00, 90.00 degrees
Atoms (fractional coordinates):
Li (0.005, 0.750, 0.125)
Li (0.250, 0.005, 0.875)
Li (0.250, 0.495, 0.375)
Li (0.495, 0.750, 0.625)
Li (0.505, 0.250, 0.625)
Li (0.750, 0.505, 0.375)
Li (0.750, 0.995, 0.875)
Li (0.995, 0.250, 0.125)
Zr (0.000, 0.000, 0.500)
Zr (0.000, 0.500, 0.750)
Zr (0.500, 0.000, 0.250)
Zr (0.500, 0.500, 0.000)
F (0.000, 0.000, 0.000)
F (0.000, 0.500, 0.250)
F (0.500, 0.000, 0.750)
F (0.500, 0.500, 0.500)

---

[4]
Crystalline ErCoGe4 at its relaxed geometry. Source: Alexandria via LeMat-Bulk, functional GGA-PBE.

Results
Formation enthalpy at 0 K, eV/atom: -0.01
Total energy, eV/atom: -5.03
Calculated density, g/cm3: 7.03
Space-group type: P4_2/nmc (137)

Cell lengths 4.997, 4.997, 9.778 Å; angles 90.00, 90.00, 90.00 degrees
Atoms (fractional coordinates):
Er (0.250, 0.750, 0.250)
Er (0.750, 0.250, 0.750)
Co (0.250, 0.750, 0.750)
Co (0.750, 0.250, 0.250)
Ge (0.005, 0.250, 0.057)
Ge (0.250, 0.005, 0.557)
Ge (0.250, 0.495, 0.557)
Ge (0.495, 0.250, 0.057)
Ge (0.505, 0.750, 0.943)
Ge (0.750, 0.505, 0.443)
Ge (0.750, 0.995, 0.443)
Ge (0.995, 0.750, 0.943)

---

[5]
Crystalline TlCr2Sb2 at its relaxed geometry. Source: Alexandria via LeMat-Bulk, functional GGA-PBE.

Results
Energy above the most stable polymorph in this dataset, meV per atom: 64.1
Formation energy without anion corrections, eV per atom: 0.30
Total energy, eV/atom: -5.67
Calculated density, g/cm3: 8.10
Space-group type: P4/mbm (127)

Cell lengths 8.145, 8.145, 3.410 Å; angles 90.00, 90.00, 90.00 degrees
Atoms (fractional coordinates):
Tl (0.000, 0.000, 0.000)
Tl (0.500, 0.500, 0.000)
Cr (0.131, 0.369, 0.000)
Cr (0.369, 0.869, 0.000)
Cr (0.631, 0.131, 0.000)
Cr (0.869, 0.631, 0.000)
Sb (0.159, 0.659, 0.500)
Sb (0.341, 0.159, 0.500)
Sb (0.659, 0.841, 0.500)
Sb (0.841, 0.341, 0.500)

---

[6]
Crystalline Sr2CaCl at its relaxed geometry. Source: Alexandria via LeMat-Bulk, functional GGA-PBE.

Results
Energy above the most stable polymorph in this dataset, meV per atom: 65.4
Formation energy without anion corrections, eV per atom: -0.75
Total energy, eV/atom: -2.55
Calculated density, g/cm3: 2.49
Space-group type: Pm (6)

Cell lengths 6.892, 4.039, 6.901 Å; angles 90.00, 119.60, 90.00 degrees
Atoms (fractional coordinates):
Sr (0.000, 0.000, 0.000)
Sr (0.321, 0.500, 0.681)
Ca (0.631, 0.000, 0.369)
Cl (0.814, 0.500, 0.198)